1.
{
  "formula": "SrNdAu2",
  "functional": "PBE",
  "state": "relaxed",
  "formation_enthalpy_0k_ev_per_atom": -0.691,
  "density_g_cm3": 8.44,
  "dft_energy_ev_per_atom": -3.94,
  "lattice_angstrom": [[-0.4277, 4.1245, -1.4910], [-3.0303, 2.6744, 1.7557], [3.7388, 4.5616, 5.0344]],
  "species": ["Nd", "Au", "Au", "Sr"],
  "fractional_positions": [[0.0000, 0.0000, 0.0000], [0.7432, 0.7432, 0.7704], [0.2568, 0.2568, 0.2296], [0.5000, 0.5000, 0.5000]]
}



2.
{
  "formula": "Mg3TlPb5",
  "functional": "PBE",
  "state": "relaxed",
  "formation_enthalpy_0k_ev_per_atom": 0.152,
  "density_g_cm3": 7.57,
  "dft_energy_ev_per_atom": -2.70,
  "lattice_angstrom": [[-3.4336, -5.9793, 3.0848], [4.1427, -1.6775, 6.0893], [-5.8092, 5.2712, 7.1016]],
  "species": ["Pb", "Tl", "Pb", "Tl", "Mg", "Pb", "Pb", "Pb", "Mg", "Pb", "Mg", "Mg", "Pb", "Mg", "Pb", "Mg", "Pb", "Pb"],
  "fractional_positions": [[0.9528, 0.3308, 0.2519], [0.1110, 0.1110, 0.7281], [0.0472, 0.6692, 0.7481], [0.8890, 0.8890, 0.2719], [0.0000, 0.0000, 0.0000], [0.4561, 0.4561, 0.6538], [0.7324, 0.7324, 0.0550], [0.5439, 0.5439, 0.3462], [0.3545, 0.3545, 0.1999], [0.2676, 0.2676, 0.9450], [0.2726, 0.2726, 0.4809], [0.0000, 0.0000, 0.5000], [0.6893, 0.3107, 0.0000], [0.7274, 0.7274, 0.5191], [0.6692, 0.0472, 0.7481], [0.6455, 0.6455, 0.8001], [0.3308, 0.9528, 0.2519], [0.3107, 0.6893, 0.0000]]
}



3.
{
  "formula": "CeY3Tm4",
  "functional": "PBE",
  "state": "relaxed",
  "formation_enthalpy_0k_ev_per_atom": 0.435,
  "de_polymorph_mev_per_atom": 237,
  "density_g_cm3": 7.15,
  "dft_energy_ev_per_atom": -4.97,
  "lattice_angstrom": [[-1.1421, 2.1454, -2.2749], [-7.4935, -4.4434, -0.4283], [-2.4251, 5.4535, 6.3607]],
  "species": ["Y", "Tm", "Tm", "Y", "Tm", "Y", "Ce", "Tm"],
  "fractional_positions": [[0.0000, 0.5000, 0.0000], [0.0000, 0.7677, 0.7677], [0.5000, 0.7623, 0.2377], [0.5000, 0.5000, 0.5000], [0.0000, 0.2323, 0.2323], [0.0000, 0.0000, 0.5000], [0.5000, 0.0000, 0.0000], [0.5000, 0.2377, 0.7623]]
}



- Number 3 is which compound?
  CeY3Tm4